*a*
A relaxed structure of SmTm3Cu2. Source: Alexandria, functional PBE-GGA.

Cell and atoms, written as CIF:
```
data_SmTm3Cu2
_chemical_formula_sum 'Sm4 Tm12 Cu8'
_cell_length_a 6.768
_cell_length_b 13.342
_cell_length_c 7.093
_cell_angle_alpha 90.00
_cell_angle_beta 90.00
_cell_angle_gamma 90.00
_symmetry_space_group_name_H-M 'I b a m'
_symmetry_Int_Tables_number 72
_symmetry_space_group_name_Hall '-I 2 2c'
loop_
_atom_site_label
_atom_site_type_symbol
_atom_site_fract_x
_atom_site_fract_y
_atom_site_fract_z
Sm1 Sm 0.000 0.000 0.000
Tm1 Tm 0.000 0.237 0.250
Tm2 Tm 0.000 0.500 0.250
Cu1 Cu 0.207 0.357 0.000
```



*b*
A relaxed structure of SmTm3Cu2. Source: Alexandria, functional PBE-GGA.

Cell and atoms, written as CIF:
```
data_SmTm3Cu2
_chemical_formula_sum 'Sm1 Tm3 Cu2'
_cell_length_a 3.447
_cell_length_b 3.447
_cell_length_c 12.077
_cell_angle_alpha 90.00
_cell_angle_beta 90.00
_cell_angle_gamma 90.00
_symmetry_space_group_name_H-M 'P 4/m m m'
_symmetry_Int_Tables_number 123
_symmetry_space_group_name_Hall '-P 4 2'
loop_
_atom_site_label
_atom_site_type_symbol
_atom_site_fract_x
_atom_site_fract_y
_atom_site_fract_z
Sm1 Sm 0.000 0.000 0.000
Tm1 Tm 0.500 0.500 0.220
Tm2 Tm 0.500 0.500 0.500
Cu1 Cu 0.000 0.000 0.358
```



Stability, lowest: *a*



*a*
A relaxed structure of SmTmCu. Source: Alexandria, functional PBE-GGA.

Cell and atoms, written as CIF:
```
data_SmTmCu
_chemical_formula_sum 'Sm4 Tm4 Cu4'
_cell_length_a 6.873
_cell_length_b 6.873
_cell_length_c 6.873
_cell_angle_alpha 90.00
_cell_angle_beta 90.00
_cell_angle_gamma 90.00
_symmetry_space_group_name_H-M 'F -4 3 m'
_symmetry_Int_Tables_number 216
_symmetry_space_group_name_Hall 'F -4 2 3'
loop_
_atom_site_label
_atom_site_type_symbol
_atom_site_fract_x
_atom_site_fract_y
_atom_site_fract_z
Sm1 Sm 0.000 0.000 0.000
Tm1 Tm 0.000 0.000 0.500
Cu1 Cu 0.250 0.250 0.750
```



*b*
A relaxed structure of SmTmCu. Source: Alexandria, functional PBE-GGA.

Cell and atoms, written as CIF:
```
data_SmTmCu
_chemical_formula_sum 'Sm2 Tm2 Cu2'
_cell_length_a 3.481
_cell_length_b 3.481
_cell_length_c 12.382
_cell_angle_alpha 90.00
_cell_angle_beta 90.00
_cell_angle_gamma 90.00
_symmetry_space_group_name_H-M 'I 4 m m'
_symmetry_Int_Tables_number 107
_symmetry_space_group_name_Hall 'I 4 -2'
loop_
_atom_site_label
_atom_site_type_symbol
_atom_site_fract_x
_atom_site_fract_y
_atom_site_fract_z
Sm1 Sm 0.000 0.000 0.000
Tm1 Tm 0.000 0.000 0.279
Cu1 Cu 0.000 0.000 0.654
```



Stability, lowest: *a*



*a*
A relaxed structure of SmTm2Cu2. Source: Alexandria, functional PBE-GGA.

Cell and atoms, written as CIF:
```
data_SmTm2Cu2
_chemical_formula_sum 'Sm2 Tm4 Cu4'
_cell_length_a 3.483
_cell_length_b 5.091
_cell_length_c 13.017
_cell_angle_alpha 90.00
_cell_angle_beta 97.70
_cell_angle_gamma 90.00
_symmetry_space_group_name_H-M 'P 1 21/m 1'
_symmetry_Int_Tables_number 11
_symmetry_space_group_name_Hall '-P 2yb'
loop_
_atom_site_label
_atom_site_type_symbol
_atom_site_fract_x
_atom_site_fract_y
_atom_site_fract_z
Sm1 Sm 0.143 0.250 0.283
Tm1 Tm 0.046 0.750 0.093
Tm2 Tm 0.230 0.750 0.461
Cu1 Cu 0.359 0.250 0.719
Cu2 Cu 0.456 0.750 0.914
```



*b*
A relaxed structure of SmTm2Cu2. Source: Alexandria, functional PBE-GGA.

Cell and atoms, written as CIF:
```
data_SmTm2Cu2
_chemical_formula_sum 'Sm2 Tm4 Cu4'
_cell_length_a 4.968
_cell_length_b 4.584
_cell_length_c 10.645
_cell_angle_alpha 90.00
_cell_angle_beta 96.43
_cell_angle_gamma 90.00
_symmetry_space_group_name_H-M 'P 1 21/m 1'
_symmetry_Int_Tables_number 11
_symmetry_space_group_name_Hall '-P 2yb'
loop_
_atom_site_label
_atom_site_type_symbol
_atom_site_fract_x
_atom_site_fract_y
_atom_site_fract_z
Sm1 Sm 0.190 0.250 0.242
Tm1 Tm 0.250 0.750 0.497
Tm2 Tm 0.345 0.250 0.887
Cu1 Cu 0.128 0.750 0.008
Cu2 Cu 0.283 0.250 0.635
```



Stability, lowest: *b*



*a*
A relaxed structure of SmTmCu4. Source: Alexandria, functional PBE-GGA.

Cell and atoms, written as CIF:
```
data_SmTmCu4
_chemical_formula_sum 'Sm4 Tm4 Cu16'
_cell_length_a 7.454
_cell_length_b 7.454
_cell_length_c 7.454
_cell_angle_alpha 90.00
_cell_angle_beta 90.00
_cell_angle_gamma 90.00
_symmetry_space_group_name_H-M 'F -4 3 m'
_symmetry_Int_Tables_number 216
_symmetry_space_group_name_Hall 'F -4 2 3'
loop_
_atom_site_label
_atom_site_type_symbol
_atom_site_fract_x
_atom_site_fract_y
_atom_site_fract_z
Sm1 Sm 0.000 0.000 0.000
Tm1 Tm 0.250 0.250 0.750
Cu1 Cu 0.124 0.124 0.376
```



*b*
A relaxed structure of SmTmCu4. Source: Alexandria, functional PBE-GGA.

Cell and atoms, written as CIF:
```
data_SmTmCu4
_chemical_formula_sum 'Sm2 Tm2 Cu8'
_cell_length_a 4.293
_cell_length_b 6.865
_cell_length_c 7.353
_cell_angle_alpha 90.00
_cell_angle_beta 90.00
_cell_angle_gamma 90.00
_symmetry_space_group_name_H-M 'I m m 2'
_symmetry_Int_Tables_number 44
_symmetry_space_group_name_Hall 'I 2 -2'
loop_
_atom_site_label
_atom_site_type_symbol
_atom_site_fract_x
_atom_site_fract_y
_atom_site_fract_z
Sm1 Sm 0.000 0.000 0.000
Tm1 Tm 0.000 0.500 0.087
Cu1 Cu 0.000 0.195 0.383
Cu2 Cu 0.000 0.300 0.712
```



Stability, lowest: *a*



*a*
A relaxed structure of SmTm2Cu. Source: Alexandria, functional PBE-GGA.

Cell and atoms, written as CIF:
```
data_SmTm2Cu
_chemical_formula_sum 'Sm4 Tm8 Cu4'
_cell_length_a 6.774
_cell_length_b 9.746
_cell_length_c 6.435
_cell_angle_alpha 90.00
_cell_angle_beta 90.00
_cell_angle_gamma 90.00
_symmetry_space_group_name_H-M 'P n m a'
_symmetry_Int_Tables_number 62
_symmetry_space_group_name_Hall '-P 2ac 2n'
loop_
_atom_site_label
_atom_site_type_symbol
_atom_site_fract_x
_atom_site_fract_y
_atom_site_fract_z
Sm1 Sm 0.008 0.250 0.132
Tm1 Tm 0.183 0.058 0.681
Cu1 Cu 0.103 0.750 0.434
```



*b*
A relaxed structure of SmTm2Cu. Source: Alexandria, functional PBE-GGA.

Cell and atoms, written as CIF:
```
data_SmTm2Cu
_chemical_formula_sum 'Sm3 Tm6 Cu3'
_cell_length_a 3.6375
_cell_length_b 3.6375
_cell_length_c 28.8083
_cell_angle_alpha 90.00
_cell_angle_beta 90.00
_cell_angle_gamma 120.00
_symmetry_space_group_name_H-M 'R 3 m'
_symmetry_Int_Tables_number 160
_symmetry_space_group_name_Hall 'R 3 -2"'
loop_
_atom_site_label
_atom_site_type_symbol
_atom_site_fract_x
_atom_site_fract_y
_atom_site_fract_z
Sm1 Sm 0.0000 0.0000 0.0000
Tm1 Tm 0.0000 0.0000 0.5642
Tm2 Tm 0.0000 0.0000 0.7664
Cu1 Cu 0.0000 0.0000 0.1646
```



*c*
A relaxed structure of SmTm2Cu. Source: Alexandria, functional PBE-GGA.

Cell and atoms, written as CIF:
```
data_SmTm2Cu
_chemical_formula_sum 'Sm1 Tm2 Cu1'
_cell_length_a 3.456
_cell_length_b 3.456
_cell_length_c 8.698
_cell_angle_alpha 90.00
_cell_angle_beta 90.00
_cell_angle_gamma 90.00
_symmetry_space_group_name_H-M 'P 4/m m m'
_symmetry_Int_Tables_number 123
_symmetry_space_group_name_Hall '-P 4 2'
loop_
_atom_site_label
_atom_site_type_symbol
_atom_site_fract_x
_atom_site_fract_y
_atom_site_fract_z
Sm1 Sm 0.000 0.000 0.000
Tm1 Tm 0.500 0.500 0.307
Cu1 Cu 0.000 0.000 0.500
```



*d*
A relaxed structure of SmTm2Cu. Source: Alexandria, functional PBE-GGA.

Cell and atoms, written as CIF:
```
data_SmTm2Cu
_chemical_formula_sum 'Sm2 Tm4 Cu2'
_cell_length_a 4.888
_cell_length_b 7.461
_cell_length_c 6.300
_cell_angle_alpha 90.00
_cell_angle_beta 112.75
_cell_angle_gamma 90.00
_symmetry_space_group_name_H-M 'P 1 21/m 1'
_symmetry_Int_Tables_number 11
_symmetry_space_group_name_Hall '-P 2yb'
loop_
_atom_site_label
_atom_site_type_symbol
_atom_site_fract_x
_atom_site_fract_y
_atom_site_fract_z
Sm1 Sm 0.047 0.250 0.094
Tm1 Tm 0.350 0.032 0.700
Cu1 Cu 0.202 0.750 0.404
```



Stability, lowest: *b*